1.
This record from Alexandria via LeMat-Bulk describes a geometry-optimized LaZn2GeRu structure. The functional is PBE.

Output
Density   6.8 g/cm³
Electronic total energy   -4.584 eV per atom
E_form   -0.31 eV/atom
Total moment   0.000 μB/atom

Cell lengths 4.8032, 4.8032, 4.6850 Å; angles 90.00, 90.00, 90.00 degrees
Closest atoms and distances in Å follow each position.
Fractional positions:
Ru  0.0000  0.0000  0.0000  2 Ge 2.34, 4 Zn 2.40
Ge  0.0000  0.0000  0.5000  2 Ru 2.34
Zn  0.0000  0.5000  0.0000  2 Ru 2.40
Zn  0.5000  0.0000  0.0000  2 Ru 2.40
La  0.5000  0.5000  0.5000  8 Zn 3.35, 4 Ge 3.40



2.
This record from Alexandria via LeMat-Bulk describes a geometry-optimized La2ZnGeRu structure. The functional is PBE.

Output
Density   6.1 g/cm³
Electronic total energy   -4.719 eV per atom
E_form   0.29 eV/atom
Total moment   0.000 μB/atom

Cell lengths 5.5531, 4.5587, 5.5531 Å; angles 90.00, 90.00, 90.00 degrees
Closest atoms and distances in Å follow each position.
Fractional positions:
Ru  0.0000  0.5000  0.0000  2 Zn 2.28
Ge  0.5000  0.5000  0.5000  8 La 3.59, 4 Ru 3.93
Zn  0.0000  0.0000  0.0000  2 Ru 2.28
La  0.0000  0.0000  0.5000  2 Zn 2.78
La  0.5000  0.0000  0.0000  2 Zn 2.78



> What is the electronic total energy in the second record?

-4.719 eV per atom